This record from Alexandria describes a geometry-optimized AcLa2H2 structure. The functional is PBE.

The structure in extended XYZ format:
```
5
Lattice="3.696 0.000 0.000 0.000 3.696 0.000 0.000 0.000 9.163" Properties=species:S:1:pos:R:3 pbc="T T T"
Ac 0.000 0.000 0.000
La 1.848 1.848 2.915
La 1.848 1.848 6.248
H 0.000 1.848 4.582
H 1.848 0.000 4.582
```

Computed properties:
M_tot   0.0 μB/f.u.
E_tot   -4.277 eV/atom



This record from Alexandria describes a geometry-optimized AcLaH6 structure. The functional is PBE.

The structure in extended XYZ format:
```
8
Lattice="2.000 1.155 6.529 -2.000 1.155 6.529 0.000 -2.310 6.529" Properties=species:S:1:pos:R:3 pbc="T T T"
Ac 0.000 0.000 0.000
La 0.000 0.000 9.794
H 0.000 0.000 2.505
H 0.000 0.000 4.896
H 0.000 0.000 7.407
H 0.000 0.000 12.181
H 0.000 0.000 14.692
H 0.000 0.000 17.083
```

Computed properties:
M_tot   0.0 μB/f.u.
E_tot   -4.219 eV/atom



This record from Alexandria describes a geometry-optimized AcLaH structure. The functional is PBE.

The structure in extended XYZ format:
```
3
Lattice="-1.825 1.825 6.583 1.825 -1.825 6.583 1.825 1.825 -6.583" Properties=species:S:1:pos:R:3 pbc="T T T"
Ac 0.000 0.000 0.000
La 0.000 0.000 9.410
H 0.000 0.000 2.514
```

Computed properties:
E above lowest polymorph   9.8 kJ/mol of atoms
M_tot   0.3 μB/f.u.



This record from Alexandria describes a geometry-optimized Ac4La2H structure. The functional is PBE.

The structure in extended XYZ format:
```
7
Lattice="-2.672 2.672 9.273 2.672 -2.672 9.273 2.672 2.672 -9.273" Properties=species:S:1:pos:R:3 pbc="T T T"
Ac 2.672 0.000 0.000
Ac 0.000 0.000 2.912
Ac 0.000 2.672 0.000
Ac 0.000 0.000 15.635
La 0.000 0.000 6.660
La 0.000 0.000 11.887
H 0.000 0.000 0.000
```

Computed properties:
M_tot   0.0 μB/f.u.
E_tot   -4.157 eV/atom



This record from Alexandria describes a geometry-optimized AcLa4H8 structure. The functional is PBE.

The structure in extended XYZ format:
```
13
Lattice="6.150 0.000 0.000 0.000 6.150 0.000 0.000 0.000 6.150" Properties=species:S:1:pos:R:3 pbc="T T T"
Ac 0.000 0.000 0.000
La 0.000 0.000 3.075
La 0.000 3.075 0.000
La 3.075 0.000 0.000
La 3.075 3.075 3.075
H 1.480 1.480 1.480
H 1.480 1.480 4.670
H 1.480 4.670 1.480
H 1.480 4.670 4.670
H 4.670 1.480 1.480
H 4.670 1.480 4.670
H 4.670 4.670 1.480
H 4.670 4.670 4.670
```

Computed properties:
M_tot   2.3 μB/f.u.
E_tot   -4.015 eV/atom



This record from Alexandria describes a geometry-optimized AcLa3H8 structure. The functional is PBE.

The structure in extended XYZ format:
```
12
Lattice="5.694 0.000 0.000 0.000 5.694 0.000 0.000 0.000 5.694" Properties=species:S:1:pos:R:3 pbc="T T T"
Ac 0.000 0.000 0.000
La 0.000 2.847 2.847
La 2.847 0.000 2.847
La 2.847 2.847 0.000
H 1.460 1.460 1.460
H 1.460 1.460 4.234
H 1.460 4.234 1.460
H 1.460 4.234 4.234
H 4.234 1.460 1.460
H 4.234 1.460 4.234
H 4.234 4.234 1.460
H 4.234 4.234 4.234
```

Computed properties:
M_tot   0.0 μB/f.u.
E_tot   -4.449 eV/atom



This record from Alexandria describes a geometry-optimized AcLaH structure. The functional is PBE.

The structure in extended XYZ format:
```
3
Lattice="3.919 0.000 0.000 -1.959 3.394 0.000 0.000 0.000 6.247" Properties=species:S:1:pos:R:3 pbc="T T T"
Ac 0.000 0.000 0.000
La 1.959 1.131 3.252
H 0.000 2.263 4.612
```

Computed properties:
E above lowest polymorph   1.3 kJ/mol of atoms
M_tot   0.0 μB/f.u.



This record from Alexandria describes a geometry-optimized AcLa2H structure. The functional is PBE.

The structure in extended XYZ format:
```
4
Lattice="1.930 1.114 9.228 -1.930 1.114 9.228 0.000 -2.228 9.228" Properties=species:S:1:pos:R:3 pbc="T T T"
Ac 0.000 0.000 0.000
La 0.000 0.000 15.259
La 0.000 0.000 21.575
H 0.000 0.000 4.581
```

Computed properties:
E above lowest polymorph   0.6 kJ/mol of atoms
M_tot   0.0 μB/f.u.



This record from Alexandria describes a geometry-optimized Ac2La3H structure. The functional is PBE.

The structure in extended XYZ format:
```
6
Lattice="5.654 0.000 0.000 -2.827 4.896 0.000 0.000 0.000 7.536" Properties=species:S:1:pos:R:3 pbc="T T T"
Ac 0.000 0.000 1.826
Ac 0.000 0.000 5.710
La 0.000 3.264 0.000
La 2.827 1.632 0.000
La 2.827 1.632 3.768
H 0.000 3.264 3.768
```

Computed properties:
M_tot   0.0 μB/f.u.
E_tot   -4.072 eV/atom



This record from Alexandria describes a geometry-optimized Ac2LaH structure. The functional is PBE.

The structure in extended XYZ format:
```
4
Lattice="3.714 0.000 0.000 0.000 3.714 0.000 0.000 0.000 9.314" Properties=species:S:1:pos:R:3 pbc="T T T"
Ac 0.000 0.000 1.801
Ac 0.000 0.000 7.513
La 1.857 1.857 4.657
H 1.857 1.857 0.000
```

Computed properties:
E above lowest polymorph   24.7 kJ/mol of atoms
M_tot   0.0 μB/f.u.



This record from Alexandria describes a geometry-optimized Ac2LaH structure. The functional is PBE.

The structure in extended XYZ format:
```
4
Lattice="1.970 1.137 9.436 -1.970 1.137 9.436 0.000 -2.275 9.436" Properties=species:S:1:pos:R:3 pbc="T T T"
Ac 0.000 0.000 0.000
Ac 0.000 0.000 6.298
La 0.000 0.000 12.633
H 0.000 0.000 17.350
```

Computed properties:
E above lowest polymorph   0.0 kJ/mol of atoms
M_tot   0.0 μB/f.u.



This record from Alexandria describes a geometry-optimized AcLaNd2H structure. The functional is PBE.

The structure in extended XYZ format:
```
5
Lattice="5.299 0.000 0.000 0.000 5.299 0.000 0.000 0.000 5.297" Properties=species:S:1:pos:R:3 pbc="T T T"
Ac 0.000 0.000 0.000
La 2.650 2.650 0.000
Nd 0.000 2.650 2.649
Nd 2.650 0.000 2.649
H 2.650 2.650 2.649
```

Computed properties:
M_tot   0.0 μB/f.u.
E_tot   -4.555 eV/atom



| no. | density (g/cm3) |
| --- | --- |
| 1 | 6.72 |
| 2 | 6.82 |
| 3 | 6.95 |
| 4 | 7.44 |
| 5 | 5.64 |
| 6 | 5.86 |
| 7 | 7.33 |
| 8 | 7.06 |
| 9 | 6.94 |
| 10 | 7.68 |
| 11 | 7.77 |
| 12 | 7.32 |